Entry 1:
TlCu3F: optimized geometry, PBE.

Summary:
- magnetic moment (μB per atom) = 0.000
- E_form (uncorrected) (eV/atom) = 0.776
- D(E_F) (states/eV/atom) = 0.563

abc: 4.9376 4.9376 4.9376
angles: 90.00 90.00 90.00
Last column: nearest neighbours and their distance in Å.
Sites, in units of the cell vectors:
Cu1 0.0000 0.5000 0.0000  2 Tl 2.47
Cu2 0.5000 0.0000 0.0000  2 Tl 2.47
Cu3 0.0000 0.0000 0.5000  2 Tl 2.47
Tl1 0.0000 0.0000 0.0000  6 Cu 2.47
F1 0.5000 0.5000 0.5000  12 Cu 3.49


Entry 2:
Tl2Cu2F: optimized geometry, PBE.

Summary:
- magnetic moment (μB per atom) = 0.000
- E_form (uncorrected) (eV/atom) = -0.385
- D(E_F) (states/eV/atom) = 0.186

abc: 3.4631 3.4631 8.5068
angles: 78.26 78.26 90.00
Last column: nearest neighbours and their distance in Å.
Sites, in units of the cell vectors:
Cu1 0.7500 0.2500 0.5000  4 Cu 2.45
Cu2 0.2500 0.7500 0.5000  4 Cu 2.45
Tl1 0.5982 0.5982 0.8035  4 F 2.93, 4 Cu 3.02, 1 Tl 3.20
Tl2 0.4018 0.4018 0.1965  4 F 2.93, 4 Cu 3.02, 1 Tl 3.20
F1 0.0000 0.0000 0.0000  8 Tl 2.93


Entry 3:
TlCuF2: optimized geometry, PBE.

Summary:
- magnetic moment (μB per atom) = 0.124
- E_form (uncorrected) (eV/atom) = -1.206
- D(E_F) (states/eV/atom) = 1.252

abc: 7.5221 7.5221 7.5221
angles: 25.46 25.46 25.46
Last column: nearest neighbours and their distance in Å.
Sites, in units of the cell vectors:
F1 0.8799 0.8799 0.8799  3 Cu 2.17
F2 0.1201 0.1201 0.1201  3 Cu 2.17
Cu1 0.5000 0.5000 0.5000  6 F 2.17
Tl1 0.0000 0.0000 0.0000  2 F 2.62


Entry 4:
Tl3CuF4: optimized geometry, PBE.

Summary:
- magnetic moment (μB per atom) = 0.008
- E_form (uncorrected) (eV/atom) = -1.557
- D(E_F) (states/eV/atom) = 0.000

abc: 6.3126 5.8993 9.0580
angles: 90.00 90.00 90.00
Last column: nearest neighbours and their distance in Å.
Sites, in units of the cell vectors:
F1 0.7572 0.9230 0.0000  3 Tl 2.47-2.60
F2 0.5003 0.6852 0.2970  1 Cu 1.84
F3 0.0003 0.3148 0.2030  1 Cu 1.84
F4 0.0003 0.3148 0.7970  1 Cu 1.84
F5 0.2478 0.9207 0.0000  3 Tl 2.47-2.60
F6 0.7478 0.0793 0.5000  3 Tl 2.47-2.60
F7 0.5003 0.6852 0.7030  1 Cu 1.84
F8 0.2572 0.0770 0.5000  3 Tl 2.47-2.60
Tl1 0.5031 0.1586 0.2754  3 F 2.60-2.80
Tl2 0.0031 0.8414 0.7754  3 F 2.60-2.80
Tl3 0.0031 0.8414 0.2246  3 F 2.60-2.80
Tl4 0.0038 0.3970 0.5000  4 F 2.47-2.73
Tl5 0.5031 0.1586 0.7246  3 F 2.60-2.80
Tl6 0.5038 0.6030 0.0000  4 F 2.47-2.73
Cu1 0.4998 0.6830 0.5000  2 F 1.84
Cu2 0.9998 0.3170 0.0000  2 F 1.84


Entry 5:
TlCuF5: optimized geometry, PBE.

Summary:
- magnetic moment (μB per atom) = 0.143
- E_form (uncorrected) (eV/atom) = -1.667
- D(E_F) (states/eV/atom) = 0.301

abc: 5.5805 5.5805 7.6914
angles: 70.15 70.15 71.88
Last column: nearest neighbours and their distance in Å.
Sites, in units of the cell vectors:
F1 0.2038 0.2836 0.3711  1 Cu 2.02, 1 Tl 2.10
F2 0.7191 0.3185 0.0302  1 Cu 1.99
F3 0.3185 0.7191 0.5302  1 Cu 1.99
F4 0.2836 0.2038 0.8711  1 Cu 2.02, 1 Tl 2.10
F5 0.2809 0.6815 0.9698  1 Cu 1.99
F6 0.7164 0.7962 0.1289  1 Cu 2.02, 1 Tl 2.10
F7 0.7962 0.7164 0.6289  1 Cu 2.02, 1 Tl 2.10
F8 0.6815 0.2809 0.4698  1 Cu 1.99
F9 0.9143 0.0857 0.7500  2 Cu 2.00
F10 0.0857 0.9143 0.2500  2 Cu 2.00
Tl1 0.5525 0.4475 0.7500  4 F 2.10-2.32
Tl2 0.4475 0.5525 0.2500  4 F 2.10-2.32
Cu1 0.0000 0.0000 0.0000  6 F 1.99-2.02
Cu2 0.0000 0.0000 0.5000  6 F 1.99-2.02


Entry 6:
Tl3CuF6: optimized geometry, PBE.

Summary:
- magnetic moment (μB per atom) = 0.202
- E_form (uncorrected) (eV/atom) = -1.634

abc: 7.2894 7.2894 7.2894
angles: 87.04 87.04 87.04
Last column: nearest neighbours and their distance in Å.
Sites, in units of the cell vectors:
Tl1 0.8441 0.4568 0.8440  3 F 2.62
Tl2 0.1560 0.1559 0.5432  3 F 2.62
Tl3 0.4568 0.8440 0.8441  3 F 2.62
Tl4 0.8440 0.8441 0.4568  3 F 2.62
Tl5 0.1559 0.5432 0.1560  3 F 2.62
Tl6 0.5432 0.1560 0.1559  3 F 2.62
F1 0.4961 0.4961 0.7685  1 Cu 1.95
F2 0.8243 0.8244 0.1003  1 Cu 1.95
F3 0.1003 0.8243 0.8244  1 Cu 1.95
F4 0.2315 0.5039 0.5039  1 Cu 1.95
F5 0.1757 0.1756 0.8997  1 Cu 1.95
F6 0.7685 0.4961 0.4961  1 Cu 1.95
F7 0.5039 0.5039 0.2315  1 Cu 1.95
F8 0.1756 0.8997 0.1757  1 Cu 1.95
F9 0.8997 0.1757 0.1756  1 Cu 1.95
F10 0.8244 0.1003 0.8243  1 Cu 1.95
F11 0.4961 0.7685 0.4961  1 Cu 1.95
F12 0.5039 0.2315 0.5039  1 Cu 1.95
Cu1 0.5000 0.5000 0.5000  6 F 1.95
Cu2 0.0000 0.0000 0.0000  6 F 1.95